(1)
Entry from Alexandria: a relaxed structure of Ag2Au (PBEsol).

extended XYZ file:
```
6
Lattice="4.6277 0.0000 0.0000 -2.3139 4.0077 0.0000 0.0000 0.0000 5.5158" Properties=species:S:1:pos:R:3 pbc="T T T"
Ag 0.0000 0.0000 0.0000
Ag 0.0000 0.0000 2.7579
Ag 0.0000 2.6718 1.3790
Ag 2.3139 1.3359 4.1369
Au 0.0000 2.6718 4.1369
Au 2.3139 1.3359 1.3790
```

calculated formation energy: 0.086 eV per formula unit
V: 17.05 A^3/atom

(2)
Entry from Alexandria: a relaxed structure of LaMg2Pd (PBEsol).

extended XYZ file:
```
8
Lattice="2.1525 -5.1800 0.0000 2.1525 5.1800 0.0000 0.0000 0.0000 8.2590" Properties=species:S:1:pos:R:3 pbc="T T T"
La 2.1525 4.5448 6.1943
La 2.1525 -4.5448 2.0648
Mg 2.1525 1.5796 4.5793
Mg 2.1525 1.5796 7.8092
Mg 2.1525 -1.5796 0.4498
Mg 2.1525 -1.5796 3.6797
Pd 2.1525 2.8707 2.0648
Pd 2.1525 -2.8707 6.1943
```

calculated formation energy: -2.047 eV per formula unit
V: 23.02 A^3/atom

(3)
Entry from Alexandria: a relaxed structure of CoSb4Br (PBEsol).

extended XYZ file:
```
6
Lattice="0.0000 4.3072 4.3072 4.3072 0.0000 4.3072 4.3072 4.3072 0.0000" Properties=species:S:1:pos:R:3 pbc="T T T"
Co 0.0000 0.0000 0.0000
Sb 3.2624 3.2624 3.2624
Sb 5.3519 5.3519 3.2624
Sb 5.3519 3.2624 5.3519
Sb 3.2624 5.3519 5.3519
Br 6.4608 6.4608 6.4608
```

V: 26.64 A^3/atom
formation energy from raw total energies: 0.715 eV/atom

(4)
Entry from Alexandria: a relaxed structure of Cd2InHg (PBEsol).

extended XYZ file:
```
4
Lattice="1.6820 0.9711 9.1858 -1.6820 0.9711 9.1858 0.0000 -1.9422 9.1858" Properties=species:S:1:pos:R:3 pbc="T T T"
Cd 0.0000 0.0000 6.8265
Cd 0.0000 0.0000 20.7310
In 0.0000 0.0000 0.0000
Hg 0.0000 0.0000 13.7787
```

calculated formation energy: 0.020 eV per formula unit
V: 22.51 A^3/atom

(5)
Entry from Alexandria: a relaxed structure of Ba2Li2Zn (PBEsol).

extended XYZ file:
```
5
Lattice="-2.0210 2.0210 10.1851 2.0210 -2.0210 10.1851 2.0210 2.0210 -10.1851" Properties=species:S:1:pos:R:3 pbc="T T T"
Ba 0.0000 0.0000 1.9069
Ba 0.0000 0.0000 18.4634
Li 2.0210 0.0000 5.0926
Li 0.0000 2.0210 5.0926
Zn 0.0000 0.0000 10.1851
```

calculated formation energy: -0.009 eV per formula unit
V: 33.28 A^3/atom

(6)
Entry from Alexandria: a relaxed structure of Fe5Ni (PBEsol).

extended XYZ file:
```
6
Lattice="2.4022 0.0000 0.0000 0.0000 2.4022 0.0000 0.0000 0.0000 11.3856" Properties=species:S:1:pos:R:3 pbc="T T T"
Fe 0.0000 0.0000 0.0000
Fe 0.0000 0.0000 3.8912
Fe 0.0000 0.0000 7.4944
Fe 1.2011 1.2011 1.9558
Fe 1.2011 1.2011 9.4298
Ni 1.2011 1.2011 5.6928
```

calculated formation energy: 0.553 eV per formula unit
V: 10.95 A^3/atom

(7)
Entry from Alexandria: a relaxed structure of MgSc3 (PBEsol).

extended XYZ file:
```
4
Lattice="3.2145 0.0000 0.0000 -1.6073 2.7838 0.0000 0.0000 0.0000 10.5350" Properties=species:S:1:pos:R:3 pbc="T T T"
Mg 0.0000 0.0000 0.0000
Sc 0.0000 0.0000 5.2675
Sc 0.0000 1.8559 2.7244
Sc 0.0000 1.8559 7.8106
```

calculated formation energy: 0.106 eV per formula unit
V: 23.57 A^3/atom

(8)
Entry from Alexandria: a relaxed structure of MgPt2Au (PBEsol).

extended XYZ file:
```
4
Lattice="2.8393 -3.7421 0.0000 2.8393 3.7421 0.0000 0.0000 0.0000 2.9444" Properties=species:S:1:pos:R:3 pbc="T T T"
Mg 0.0000 0.0000 0.0000
Pt 1.4196 1.8710 1.4722
Pt 1.4196 -1.8710 1.4722
Au 2.8393 0.0000 0.0000
```

calculated formation energy: -1.757 eV per formula unit
V: 15.64 A^3/atom